# Nd3Sc4In4

A relaxed Nd3Sc4In4 crystal (PBE, the Alexandria database).

abc: 4.934 7.574 9.305
angles: 114.02 105.37 90.00
Each line ends with the local moment (μB).
Fractional positions:
Nd 0.883 0.883 0.765  0.01
Nd 0.117 0.117 0.235  0.01
Sc 0.675 0.882 0.350  0.15
Nd 0.000 0.500 0.000  0.03
In 0.204 0.704 0.409  0.00
In 0.796 0.296 0.591  0.00
In 0.500 0.197 0.000  0.00
Sc 0.675 0.469 0.350  0.15
Sc 0.325 0.531 0.650  0.15
Sc 0.325 0.118 0.650  0.15
In 0.500 0.803 0.000  0.00

Output
Size of the total moment   0.10 μB/atom
Energy of formation from the pure elements   -0.320 eV per atom
Total energy   -54.1 eV for the cell shown
Space-group type   Immm, No. 71